# 1
Density functional theory data (PBE) for a geometry-optimized Nb2InSn structure.

Its formation energy is 0.43 eV per atom.

Unit cell a=7.6397 b=7.6397 c=5.9555 alpha=90.00 beta=90.00 gamma=90.00
With the nearest neighbours (Å) after each atom.
Space group I-42d (No. 122)
One atom of each set of equivalent atoms:
Nb 0.2451 0.2500 0.1250 (multiplicity 8)  2 Sn 2.78, 2 In 2.83, 2 Nb 2.98
In 0.0000 0.0000 0.5000 (multiplicity 4)  4 Nb 2.83, 2 Sn 2.98
Sn 0.0000 0.0000 0.0000 (multiplicity 4)  4 Nb 2.78, 2 In 2.98



# 2
Density functional theory data (PBE) for a geometry-optimized TaCuIrPt structure.

Its formation energy is -0.37 eV per atom.

Unit cell a=6.2503 b=6.2503 c=6.2503 alpha=90.00 beta=90.00 gamma=90.00
With the nearest neighbours (Å) after each atom.
Space group F-43m (No. 216)
One atom of each set of equivalent atoms:
Ta 0.0000 0.0000 0.0000 (multiplicity 4)  4 Pt 2.71, 4 Ir 2.71
Cu 0.0000 0.0000 0.5000 (multiplicity 4)  4 Ir 2.71, 4 Pt 2.71
Ir 0.2500 0.2500 0.7500 (multiplicity 4)  4 Ta 2.71, 4 Cu 2.71
Pt 0.2500 0.2500 0.2500 (multiplicity 4)  4 Cu 2.71, 4 Ta 2.71



# 3
Density functional theory data (PBE) for a geometry-optimized LiAcAgPb structure.

Its formation energy is -0.29 eV per atom.

Unit cell a=7.4435 b=7.4435 c=7.4435 alpha=90.00 beta=90.00 gamma=90.00
With the nearest neighbours (Å) after each atom.
Space group F-43m (No. 216)
One atom of each set of equivalent atoms:
Li 0.0000 0.0000 0.0000 (multiplicity 4)  4 Ac 3.22, 4 Pb 3.22
Ac 0.2500 0.2500 0.2500 (multiplicity 4)  4 Li 3.22, 4 Ag 3.22
Ag 0.0000 0.0000 0.5000 (multiplicity 4)  4 Ac 3.22, 4 Pb 3.22
Pb 0.2500 0.2500 0.7500 (multiplicity 4)  4 Li 3.22, 4 Ag 3.22



# 4
Density functional theory data (PBE) for a geometry-optimized TaTiOsPdPb structure.

Its formation energy is 0.24 eV per atom.

Unit cell a=3.0629 b=5.1043 c=6.5699 alpha=73.66 beta=76.60 gamma=72.59
With the nearest neighbours (Å) after each atom.
Space group P1 (No. 1)
One atom of each set of equivalent atoms:
Ta 0.0000 0.0000 0.0000 (multiplicity 1)  2 Os 2.78, 2 Ti 2.80, 3 Pd 2.87-2.96, 1 Pb 3.04, 2 Ta 3.06
Ti 0.6819 0.0048 0.6327 (multiplicity 1)  2 Os 2.59, 2 Ta 2.80, 2 Pd 2.83
Os 0.4070 0.8189 0.3682 (multiplicity 1)  2 Ti 2.59, 3 Pb 2.73-2.78, 2 Ta 2.78, 1 Pd 2.88
Pd 0.3359 0.5185 0.8118 (multiplicity 1)  1 Pb 2.80, 3 Ti 2.83-2.98, 3 Ta 2.87-2.96, 1 Os 2.88, 2 Pd 3.06
Pb 0.1724 0.3940 0.2621 (multiplicity 1)  3 Os 2.73-2.78, 1 Pd 2.80, 1 Ta 3.04



# 5
Density functional theory data (PBE) for a geometry-optimized InNiAs2 structure.

Its formation energy is 0.01 eV per atom.

Unit cell a=2.9408 b=2.9408 c=8.8764 alpha=90.00 beta=90.00 gamma=90.00
With the nearest neighbours (Å) after each atom.
Space group P4/mmm (No. 123)
One atom of each set of equivalent atoms:
In 0.0000 0.0000 0.0000 (multiplicity 1)  4 In 2.94
Ni 0.0000 0.0000 0.5000 (multiplicity 1)  8 As 2.59
As 0.5000 0.5000 0.3254 (multiplicity 2)  4 Ni 2.59



# 6
Density functional theory data (PBE) for a geometry-optimized LaAgAs2 structure.

Its formation energy is -0.05 eV per atom.

Unit cell a=3.3340 b=3.3340 c=28.1418 alpha=90.00 beta=90.00 gamma=120.00
With the nearest neighbours (Å) after each atom.
Space group R-3m (No. 166, hexagonal axes)
One atom of each set of equivalent atoms:
La 0.0000 0.0000 0.0000 (multiplicity 3)  6 As 3.23, 6 La 3.33
Ag 0.0000 0.0000 0.5000 (multiplicity 3)  6 As 2.84
As 0.0000 0.0000 0.2410 (multiplicity 6)  3 Ag 2.84



# 7
Density functional theory data (PBE) for a geometry-optimized CsZnCuO2 structure.

Unit cell a=5.6732 b=12.5447 c=5.0713 alpha=90.00 beta=90.00 gamma=90.00
With the nearest neighbours (Å) after each atom.
Space group Cmme (No. 67)
One atom of each set of equivalent atoms:
Cs 0.0000 0.2500 0.2488 (multiplicity 4)  2 O 3.07, 2 Cu 3.38
Zn 0.2500 0.0000 0.5000 (multiplicity 4)  4 O 2.05
Cu 0.0000 0.0000 0.0000 (multiplicity 4)  2 O 1.87
O 0.0000 0.0860 0.6992 (multiplicity 8)  1 Cu 1.87, 2 Zn 2.05



# 8
Density functional theory data (PBE) for a geometry-optimized Tb3Ga2Cu7 structure.

Its formation energy is -0.14 eV per atom.

Unit cell a=3.9738 b=3.9738 c=26.9724 alpha=90.00 beta=90.00 gamma=90.00
With the nearest neighbours (Å) after each atom.
Space group I4/mmm (No. 139)
One atom of each set of equivalent atoms:
Tb 0.0000 0.0000 0.0000 (multiplicity 2)  12 Cu 2.81-2.86
Tb 0.0000 0.0000 0.1729 (multiplicity 4)  5 Cu 2.80-3.12, 4 Ga 3.04
Ga 0.0000 0.0000 0.3697 (multiplicity 4)  5 Cu 2.46-2.51
Cu 0.0000 0.0000 0.2766 (multiplicity 4)  1 Ga 2.51, 1 Tb 2.80
Cu 0.0000 0.0000 0.5000 (multiplicity 2)  4 Tb 2.81, 8 Cu 2.86
Cu 0.0000 0.5000 0.0764 (multiplicity 8)  2 Ga 2.46



# 9
Density functional theory data (PBE) for a geometry-optimized ZnSI2O structure.

Unit cell a=5.8065 b=5.8065 c=3.5767 alpha=90.00 beta=90.00 gamma=90.00
With the nearest neighbours (Å) after each atom.
Space group P4/mmm (No. 123)
One atom of each set of equivalent atoms:
Zn 0.0000 0.0000 0.0000 (multiplicity 1)  2 O 1.79
S 0.5000 0.5000 0.5000 (multiplicity 1)  8 I 3.41, 2 S 3.58
I 0.0000 0.5000 0.0000 (multiplicity 2)  2 Zn 2.90
O 0.0000 0.0000 0.5000 (multiplicity 1)  2 Zn 1.79



# 10
Density functional theory data (PBE) for a geometry-optimized La3Sn2Ir structure.

Its formation energy is -0.81 eV per atom.

Unit cell a=12.9728 b=4.6032 c=12.0836 alpha=90.00 beta=90.00 gamma=90.00
With the nearest neighbours (Å) after each atom.
Space group Pnma (No. 62)
One atom of each set of equivalent atoms:
La 0.0545 0.2500 0.1267 (multiplicity 4)  1 Ir 3.02, 4 Sn 3.22-3.33
La 0.1167 0.7500 0.5463 (multiplicity 4)  3 Ir 3.18-3.30, 5 Sn 3.26-3.40
La 0.2397 0.2500 0.7944 (multiplicity 4)  2 Ir 3.03, 2 Sn 3.32-3.39
Sn 0.0043 0.7500 0.3049 (multiplicity 4)  2 Ir 2.87
Sn 0.1957 0.7500 0.9979 (multiplicity 4)  1 Ir 2.83
Ir 0.1239 0.2500 0.3654 (multiplicity 4)  3 Sn 2.83-2.87, 3 La 3.02-3.03



# 11
Density functional theory data (PBE) for a geometry-optimized BiAsI2N structure.

Unit cell a=6.3629 b=6.3629 c=4.2212 alpha=90.00 beta=90.00 gamma=90.00
With the nearest neighbours (Å) after each atom.
Space group P4/mmm (No. 123)
One atom of each set of equivalent atoms:
Bi 0.0000 0.0000 0.0000 (multiplicity 1)  2 N 2.11
As 0.5000 0.5000 0.5000 (multiplicity 1)  8 I 3.82, 2 As 4.22
I 0.0000 0.5000 0.0000 (multiplicity 2)  2 Bi 3.18
N 0.0000 0.0000 0.5000 (multiplicity 1)  2 Bi 2.11



# 12
Density functional theory data (PBE) for a geometry-optimized Sr2TlHg6Pd structure.

Its formation energy is -0.11 eV per atom.

Unit cell a=10.9299 b=10.9299 c=10.9299 alpha=90.00 beta=90.00 gamma=90.00
With the nearest neighbours (Å) after each atom.
Space group Fm-3m (No. 225)
One atom of each set of equivalent atoms:
Sr 0.2500 0.2500 0.2500 (multiplicity 8)  12 Hg 3.87
Tl 0.0000 0.0000 0.0000 (multiplicity 4)  6 Hg 2.83
Hg 0.0000 0.0000 0.2592 (multiplicity 24)  1 Pd 2.63, 1 Tl 2.83
Pd 0.0000 0.0000 0.5000 (multiplicity 4)  6 Hg 2.63



# 13
Density functional theory data (PBE) for a geometry-optimized RbNaTcF2 structure.

Unit cell a=4.7153 b=4.7153 c=5.5010 alpha=90.00 beta=90.00 gamma=90.00
With the nearest neighbours (Å) after each atom.
Space group P4/mmm (No. 123)
One atom of each set of equivalent atoms:
Rb 0.0000 0.0000 0.0000 (multiplicity 1)  4 Tc 3.33, 8 F 3.62
Na 0.5000 0.5000 0.5000 (multiplicity 1)  4 F 2.36
Tc 0.5000 0.5000 0.0000 (multiplicity 1)  2 Na 2.75
F 0.0000 0.5000 0.5000 (multiplicity 2)  2 Na 2.36



# 14
Density functional theory data (PBE) for a geometry-optimized Ba2LaNpN4 structure.

Unit cell a=6.3849 b=3.6945 c=6.7519 alpha=90.00 beta=108.77 gamma=90.00
With the nearest neighbours (Å) after each atom.
Space group P2/m (No. 10)
One atom of each set of equivalent atoms:
Ba 0.0000 0.0000 0.0000 (multiplicity 1)  6 N 3.02-3.26
Ba 0.5000 0.5000 0.0000 (multiplicity 1)  6 N 2.85-2.86
La 0.0000 0.5000 0.5000 (multiplicity 1)  6 N 2.57-2.59
Np 0.5000 0.0000 0.5000 (multiplicity 1)  2 N 2.09
N 0.2825 0.0000 0.6746 (multiplicity 2)  1 Np 2.09
N 0.3005 0.5000 0.3214 (multiplicity 2)  2 Np 2.35, 1 La 2.57



# 15
Density functional theory data (PBE) for a geometry-optimized AcCe6Hg12 structure.

Its formation energy is -0.15 eV per atom.

Unit cell a=14.2345 b=14.2345 c=9.8025 alpha=90.00 beta=90.00 gamma=120.00
With the nearest neighbours (Å) after each atom.
Space group R-3m (No. 166, hexagonal axes)
One atom of each set of equivalent atoms:
Ac 0.0000 0.0000 0.0000 (multiplicity 3)  6 Hg 3.41
Ce 0.0397 0.5199 0.2239 (multiplicity 18)  8 Hg 3.12-3.46
Hg 0.0000 0.3944 0.5000 (multiplicity 18)  1 Hg 3.01, 4 Ce 3.12-3.13
Hg 0.0736 0.1471 0.2942 (multiplicity 18)  4 Hg 3.14-3.44, 4 Ce 3.15-3.46, 1 Ac 3.41



# 16
Density functional theory data (PBE) for a geometry-optimized SmMg2ZnAg4 structure.

Its formation energy is -0.18 eV per atom.

Unit cell a=4.6730 b=4.6730 c=25.6887 alpha=90.00 beta=90.00 gamma=120.00
With the nearest neighbours (Å) after each atom.
Space group R-3m (No. 166, hexagonal axes)
One atom of each set of equivalent atoms:
Sm 0.0000 0.0000 0.0000 (multiplicity 3)  8 Ag 3.14-3.32
Mg 0.0000 0.0000 0.2426 (multiplicity 6)  7 Ag 2.79-2.91
Zn 0.0000 0.0000 0.5000 (multiplicity 3)  8 Ag 2.67-2.86
Ag 0.0000 0.0000 0.1294 (multiplicity 6)  3 Zn 2.86, 4 Mg 2.87-2.91, 3 Ag 3.19
Ag 0.0000 0.0000 0.3962 (multiplicity 6)  1 Zn 2.67, 3 Mg 2.79



# 17
Density functional theory data (PBE) for a geometry-optimized KCrAs2 structure.

Its formation energy is 0.58 eV per atom.

Unit cell a=7.1197 b=7.1197 c=7.1197 alpha=90.00 beta=90.00 gamma=90.00
With the nearest neighbours (Å) after each atom.
Space group F-43m (No. 216)
One atom of each set of equivalent atoms:
K 0.0000 0.0000 0.0000 (multiplicity 4)  4 Cr 3.08, 4 As 3.08
Cr 0.2500 0.2500 0.7500 (multiplicity 4)  4 As 3.08, 4 K 3.08
As 0.0000 0.0000 0.5000 (multiplicity 4)  4 As 3.08, 4 Cr 3.08
As 0.2500 0.2500 0.2500 (multiplicity 4)  4 As 3.08, 4 K 3.08



# 18
Density functional theory data (PBE) for a geometry-optimized Dy3Zn2Rh5 structure.

Its formation energy is -0.68 eV per atom.

Unit cell a=9.8378 b=9.8378 c=3.6916 alpha=90.00 beta=90.00 gamma=90.00
With the nearest neighbours (Å) after each atom.
Space group P4/mbm (No. 127)
One atom of each set of equivalent atoms:
Dy 0.0000 0.0000 0.0000 (multiplicity 2)  8 Rh 2.86
Dy 0.1724 0.3276 0.0000 (multiplicity 4)  3 Zn 2.85-2.94, 6 Rh 3.03-3.14
Zn 0.1224 0.6224 0.0000 (multiplicity 4)  6 Rh 2.51-2.53
Rh 0.0000 0.5000 0.5000 (multiplicity 2)  4 Zn 2.51
Rh 0.0726 0.7908 0.5000 (multiplicity 8)  2 Zn 2.53



# 19
Density functional theory data (PBE) for a geometry-optimized Si2PWI structure.

Unit cell a=4.7180 b=4.7180 c=4.6357 alpha=90.00 beta=90.00 gamma=90.00
With the nearest neighbours (Å) after each atom.
Space group P4/mmm (No. 123)
One atom of each set of equivalent atoms:
Si 0.0000 0.5000 0.0000 (multiplicity 2)  2 P 2.36
P 0.0000 0.0000 0.0000 (multiplicity 1)  2 W 2.32, 4 Si 2.36
W 0.0000 0.0000 0.5000 (multiplicity 1)  2 P 2.32
I 0.5000 0.5000 0.5000 (multiplicity 1)  8 Si 3.31, 4 W 3.34



# 20
Density functional theory data (PBE) for a geometry-optimized MnNi2SnN structure.

Unit cell a=3.9176 b=3.9176 c=3.9275 alpha=90.00 beta=90.00 gamma=90.00
With the nearest neighbours (Å) after each atom.
Space group P4/mmm (No. 123)
One atom of each set of equivalent atoms:
Mn 0.0000 0.0000 0.0000 (multiplicity 1)  2 N 1.96
Ni 0.0000 0.5000 0.5000 (multiplicity 2)  2 N 1.96
Sn 0.5000 0.5000 0.0000 (multiplicity 1)  4 Mn 2.77, 8 Ni 2.77
N 0.0000 0.0000 0.5000 (multiplicity 1)  4 Ni 1.96, 2 Mn 1.96



# 21
Density functional theory data (PBE) for a geometry-optimized BaGaCu2Bi structure.

Its formation energy is 0.26 eV per atom.

Unit cell a=4.8178 b=4.8178 c=6.0111 alpha=90.00 beta=90.00 gamma=90.00
With the nearest neighbours (Å) after each atom.
Space group P4/mmm (No. 123)
One atom of each set of equivalent atoms:
Ba 0.0000 0.0000 0.0000 (multiplicity 1)  2 Ga 3.01
Ga 0.0000 0.0000 0.5000 (multiplicity 1)  4 Cu 2.41
Cu 0.0000 0.5000 0.5000 (multiplicity 2)  2 Ga 2.41
Bi 0.5000 0.5000 0.0000 (multiplicity 1)  4 Ba 3.41



# 22
Density functional theory data (PBE) for a geometry-optimized TaV3In structure.

Its formation energy is 1.28 eV per atom.

Unit cell a=4.6473 b=4.6473 c=4.6473 alpha=90.00 beta=90.00 gamma=90.00
With the nearest neighbours (Å) after each atom.
Space group Pm-3m (No. 221)
One atom of each set of equivalent atoms:
Ta 0.0000 0.0000 0.0000 (multiplicity 1)  6 V 2.32
V 0.0000 0.0000 0.5000 (multiplicity 3)  2 Ta 2.32
In 0.5000 0.5000 0.5000 (multiplicity 1)  12 V 3.29



# 23
Density functional theory data (PBE) for a geometry-optimized La3PrY5 structure.

Its formation energy is 0.07 eV per atom.

Unit cell a=9.9905 b=9.9905 c=7.1787 alpha=90.00 beta=90.00 gamma=120.00
With the nearest neighbours (Å) after each atom.
Space group P6_3/mcm (No. 193)
One atom of each set of equivalent atoms:
La 0.0000 0.3526 0.2500 (multiplicity 6)  5 Y 3.27-3.60
Pr 0.0000 0.0000 0.0000 (multiplicity 2)  2 Pr 3.59, 6 Y 3.67, 6 La 3.95
Y 0.0000 0.3200 0.7500 (multiplicity 6)  5 La 3.27-3.60
Y 0.3333 0.6667 0.0000 (multiplicity 4)  8 Y 3.59-3.84, 6 La 3.70



# 24
Density functional theory data (PBE) for a geometry-optimized Ag2Au structure.

Its formation energy is 0.19 eV per atom.

Unit cell a=7.6817 b=7.6817 c=7.6817 alpha=90.00 beta=90.00 gamma=90.00
With the nearest neighbours (Å) after each atom.
Space group Fd-3m (No. 227, origin choice 2)
One atom of each set of equivalent atoms:
Ag 0.0000 0.0000 0.0000 (multiplicity 16)  6 Ag 2.72
Au 0.1250 0.1250 0.6250 (multiplicity 8)  12 Ag 3.18, 4 Au 3.33



| no. | theoretical density (g/cm³) | calculated total energy (eV/atom) |
| --- | --- | --- |
| 1 | 8.01 | -6.29 |
| 2 | 17.19 | -8.09 |
| 3 | 8.84 | -3.44 |
| 4 | 13.11 | -7.73 |
| 5 | 6.99 | -4.45 |
| 6 | 7.29 | -4.32 |
| 7 | 5.41 | -4.32 |
| 8 | 8.27 | -4.19 |
| 9 | 5.06 | -2.39 |
| 10 | 7.79 | -6.08 |
| 11 | 5.36 | -2.89 |
| 12 | 8.59 | -1.39 |
| 13 | 3.32 | -3.67 |
| 14 | 7.78 | -7.81 |
| 15 | 10.06 | -2.43 |
| 16 | 7.14 | -2.75 |
| 17 | 4.43 | -4.42 |
| 18 | 10.53 | -6.00 |
| 19 | 6.40 | -4.94 |
| 20 | 8.40 | -6.71 |
| 21 | 6.46 | -3.14 |
| 22 | 7.42 | -7.11 |
| 23 | 5.36 | -5.70 |
| 24 | 12.09 | -2.80 |